Entry 1:
A relaxed structure of ScCo2SiH. Source: Alexandria, functional PBE.

Results
As for the spin magnetization: 0.000 μB/atom. The uncorrected energy comes out at -6.457 eV/atom.

Unit cell a=5.238 b=5.238 c=6.736 alpha=90.00 beta=90.00 gamma=142.15
Fractional positions:
Sc (0.049, 0.951, 0.750)
Sc (0.951, 0.049, 0.250)
Co (0.343, 0.657, 0.555)
Co (0.343, 0.657, 0.945)
Co (0.657, 0.343, 0.055)
Co (0.657, 0.343, 0.445)
Si (0.230, 0.770, 0.250)
Si (0.770, 0.230, 0.750)
H (0.500, 0.500, 0.000)
H (0.500, 0.500, 0.500)

Entry 2:
A relaxed structure of ScCoSiH. Source: Alexandria, functional PBE.

Results
As for the spin magnetization: 0.000 μB/atom. The uncorrected energy comes out at -6.274 eV/atom.

Unit cell a=3.717 b=3.717 c=6.785 alpha=90.00 beta=90.00 gamma=90.00
Fractional positions:
Sc (0.250, 0.250, 0.155)
Sc (0.750, 0.750, 0.845)
Co (0.250, 0.750, 0.500)
Co (0.750, 0.250, 0.500)
Si (0.250, 0.250, 0.685)
Si (0.750, 0.750, 0.315)
H (0.250, 0.750, 0.000)
H (0.750, 0.250, 0.000)

Entry 3:
A relaxed structure of SmScCo2H8. Source: Alexandria, functional PBE.

Results
As for the spin magnetization: 0.000 μB/atom. The uncorrected energy comes out at -4.606 eV/atom.

Unit cell a=6.019 b=6.019 c=6.019 alpha=45.11 beta=45.11 gamma=45.11
Fractional positions:
Sm (0.000, 0.000, 0.000)
Sc (0.500, 0.500, 0.500)
Co (0.193, 0.193, 0.193)
Co (0.807, 0.807, 0.807)
H (0.077, 0.874, 0.400)
H (0.126, 0.600, 0.923)
H (0.300, 0.300, 0.300)
H (0.400, 0.077, 0.874)
H (0.600, 0.923, 0.126)
H (0.700, 0.700, 0.700)
H (0.874, 0.400, 0.077)
H (0.923, 0.126, 0.600)